Entry 1:
Computed, not measured: a relaxed structure of LaPr6Co2 at the PBE level of DFT.

Cell and atoms, written as POSCAR:
```
LaPr6Co2
1.0
-4.906 5.209 5.330
4.906 -5.209 5.330
4.906 5.209 -5.330
La Pr Co
2 12 4
Direct
0.000 0.000 0.000
0.500 0.000 0.500
0.019 0.782 0.237
0.185 0.483 0.298
0.185 0.886 0.702
0.321 0.321 0.642
0.321 0.679 0.000
0.455 0.218 0.237
0.545 0.782 0.763
0.679 0.321 0.000
0.679 0.679 0.358
0.815 0.114 0.298
0.815 0.517 0.702
0.981 0.218 0.763
0.118 0.500 0.618
0.290 0.290 0.000
0.710 0.710 0.000
0.882 0.500 0.382
```

calculated total energy: -5.281 eV per atom
ΔE_f: 0.032 eV/atom

Entry 2:
Computed, not measured: a relaxed structure of Mn2GaC at the PBE level of DFT.

Cell and atoms, written as POSCAR:
```
Mn2GaC
1.0
5.556 0.000 0.000
0.000 5.556 0.000
0.000 0.000 5.556
Mn Ga C
8 4 4
Direct
0.250 0.250 0.250
0.250 0.250 0.750
0.250 0.750 0.250
0.250 0.750 0.750
0.750 0.250 0.250
0.750 0.250 0.750
0.750 0.750 0.250
0.750 0.750 0.750
0.000 0.000 0.000
0.000 0.500 0.500
0.500 0.000 0.500
0.500 0.500 0.000
0.000 0.000 0.500
0.000 0.500 0.000
0.500 0.000 0.000
0.500 0.500 0.500
```

calculated total energy: -6.733 eV per atom
ΔE_f: 0.915 eV/atom

Entry 3:
Computed, not measured: a relaxed structure of CeHo3Tl4 at the PBE level of DFT.

Cell and atoms, written as POSCAR:
```
CeHo3Tl4
1.0
3.480 0.000 0.000
0.000 7.303 0.000
0.000 0.000 18.628
Ce Ho Tl
2 6 8
Direct
0.000 0.000 0.000
0.500 0.500 0.500
0.000 0.000 0.500
0.000 0.500 0.281
0.000 0.500 0.719
0.500 0.000 0.219
0.500 0.000 0.781
0.500 0.500 0.000
0.000 0.288 0.129
0.000 0.288 0.871
0.000 0.712 0.129
0.000 0.712 0.871
0.500 0.212 0.371
0.500 0.212 0.629
0.500 0.788 0.371
0.500 0.788 0.629
```

calculated total energy: -3.798 eV per atom
distance to the lowest polymorph of the same formula: 107.8 kJ/mol of formula units
ΔE_f: -0.156 eV/atom

Entry 4:
Computed, not measured: a relaxed structure of KBaCu at the PBE level of DFT.

Cell and atoms, written as POSCAR:
```
KBaCu
1.0
7.968 0.000 0.000
0.000 7.968 0.000
0.000 0.000 7.968
K Ba Cu
4 4 4
Direct
0.000 0.000 0.000
0.000 0.500 0.500
0.500 0.000 0.500
0.500 0.500 0.000
0.000 0.000 0.500
0.000 0.500 0.000
0.500 0.000 0.000
0.500 0.500 0.500
0.250 0.250 0.250
0.250 0.750 0.750
0.750 0.250 0.750
0.750 0.750 0.250
```

calculated total energy: -2.167 eV per atom
distance to the lowest polymorph of the same formula: 70.4 kJ/mol of formula units
ΔE_f: 0.205 eV/atom

Entry 5:
Computed, not measured: a relaxed structure of PuCo4Ag at the PBE level of DFT.

Cell and atoms, written as POSCAR:
```
PuCo4Ag
1.0
0.000 3.500 3.500
3.500 0.000 3.500
3.500 3.500 0.000
Pu Co Ag
1 4 1
Direct
0.000 0.000 0.000
0.375 0.375 0.375
0.375 0.375 0.874
0.375 0.874 0.375
0.874 0.375 0.375
0.750 0.750 0.750
```

calculated total energy: -7.605 eV per atom
ΔE_f: -0.004 eV/atom

Entry 6:
Computed, not measured: a relaxed structure of PaTi3Sb2 at the PBE level of DFT.

Cell and atoms, written as POSCAR:
```
PaTi3Sb2
1.0
8.550 -1.960 0.000
8.550 1.960 0.000
-3.593 0.000 7.736
Pa Ti Sb
2 6 4
Direct
0.130 0.130 0.026
0.870 0.870 0.974
0.061 0.061 0.435
0.309 0.309 0.520
0.410 0.410 0.312
0.590 0.590 0.688
0.691 0.691 0.480
0.939 0.939 0.565
0.220 0.220 0.749
0.464 0.464 0.811
0.536 0.536 0.189
0.780 0.780 0.251
```

calculated total energy: -7.203 eV per atom
raw formation energy: -29 kJ/mol of atoms

- Which of these has the lowest calculated total energy?
  PuCo4Ag

Copy entry 1 word for word.
Computed, not measured: a relaxed structure of LaPr6Co2 at the PBE level of DFT.

Cell and atoms, written as POSCAR:
```
LaPr6Co2
1.0
-4.906 5.209 5.330
4.906 -5.209 5.330
4.906 5.209 -5.330
La Pr Co
2 12 4
Direct
0.000 0.000 0.000
0.500 0.000 0.500
0.019 0.782 0.237
0.185 0.483 0.298
0.185 0.886 0.702
0.321 0.321 0.642
0.321 0.679 0.000
0.455 0.218 0.237
0.545 0.782 0.763
0.679 0.321 0.000
0.679 0.679 0.358
0.815 0.114 0.298
0.815 0.517 0.702
0.981 0.218 0.763
0.118 0.500 0.618
0.290 0.290 0.000
0.710 0.710 0.000
0.882 0.500 0.382
```

calculated total energy: -5.281 eV per atom
ΔE_f: 0.032 eV/atom

- Which of these has the highest calculated total energy?
  KBaCu

- Number 5 is which compound?
  PuCo4Ag